# Na2TbReO6

A geometry-optimized Na2TbReO6 structure (PBE, Alexandria).

**E**: -142.43 eV per cell
**Calculated volume**: 13.15 A^3/atom
**Energy relative to the elements, uncorrected**: -21.75 eV per formula unit

```
20
Lattice="-0.5679 5.5961 0.4161 -1.9226 -0.5978 5.4159 7.5721 0.5272 2.7462" Properties=species:S:1:pos:R:3 pbc="T T T"
Na 5.0339 5.9181 2.6703
Na 0.7140 2.6021 3.3929
Na 4.3677 2.9234 5.1854
Na 0.0477 -0.3926 5.9080
Tb 2.8248 -0.0353 4.0811
Tb -0.2839 2.7980 0.2081
O 3.2587 3.9297 3.2594
O 2.9769 1.4076 2.3490
O 3.3965 2.1039 7.4327
O 1.8230 1.5958 5.3189
O 6.2269 4.3909 4.6405
O -1.1452 1.1346 3.9378
O 2.1048 4.1179 6.2293
O 1.6852 3.4216 1.1456
O 4.8998 0.6212 4.7205
O -0.1638 0.8928 1.4538
O 0.1819 4.9043 3.8578
O 5.2455 4.6327 7.1245
Re -0.9613 -0.2989 2.7080
Re 3.5021 3.0617 1.5812
```

---

# Na3Tb3ReO8

A geometry-optimized Na3Tb3ReO8 structure (PBE, Alexandria).

**E**: -106.81 eV per cell
**Calculated volume**: 14.67 A^3/atom
**Energy relative to the elements, uncorrected**: -36.84 eV per formula unit

```
15
Lattice="-4.6007 -2.6212 4.1896 3.2404 -3.9891 -4.3783 3.3527 2.6067 5.3127" Properties=species:S:1:pos:R:3 pbc="T T T"
O -2.5234 -1.3415 4.7870
O 4.5158 -2.6620 0.3371
O -0.7627 -3.5091 2.4080
O 2.0160 -4.0863 2.6135
O 0.5282 -1.9690 4.7890
O 1.4642 -2.0345 0.3351
O -0.0236 0.0827 2.5105
O 2.7551 -0.4944 2.7160
Na 1.6202 -1.9946 -2.1891
Na 0.0000 0.0000 0.0000
Na -0.6801 -3.3051 -0.0943
Re 1.6763 1.3034 2.6564
Tb -0.6240 -0.0072 4.7512
Tb 3.2966 -0.6912 0.4672
Tb 0.9962 -2.0018 2.5620
```

---

energy relative to the elements, uncorrected of number 1 (Na2TbReO6)? -21.75 eV per formula unit